Material: Ho3TmAg2
Method: DFT, PBE
State: relaxed

Unit cell a=3.5941 b=3.5941 c=12.1579 alpha=90.00 beta=90.00 gamma=90.00
With the nearest neighbours (Å) after each atom.
Fractional coordinates of all 6 atoms:
Ho (0.0000, 0.0000, 0.0000)  8 Ag 3.13
Ho (0.0000, 0.0000, 0.3005)  4 Ag 3.13
Ho (0.0000, 0.0000, 0.6995)  4 Ag 3.13
Tm (0.5000, 0.5000, 0.5000)  8 Ho 3.51, 4 Tm 3.59
Ag (0.5000, 0.5000, 0.1501)  8 Ho 3.13
Ag (0.5000, 0.5000, 0.8499)  8 Ho 3.13

Output
Space group ... P4/mmm, No. 123
VASP energy ... -4.187 eV/atom
DOS at the Fermi energy ... 4.68 states/eV/f.u.
Calculated formation energy ... -202.2 meV/atom
Volume ... 157.0 Å³ per cell
Total moment ... 0.00 μB/f.u.